No. 1
# Al2In2Si

A crystal of Al2In2Si relaxed with PBEsol (meta-GGA SCAN, Alexandria via LeMat-Bulk).

Results
**Magnetization**: 0.0 μB/cell
**Uncorrected energy**: -18.005 eV per atom

Cell lengths 8.308, 8.308, 3.007 Å; angles 90.00, 90.00, 90.00 degrees
Sites, in units of the cell vectors:
Al: 0.119 0.381 0.000
Al: 0.381 0.881 0.000
Al: 0.619 0.119 0.000
Al: 0.881 0.619 0.000
In: 0.179 0.679 0.500
In: 0.321 0.179 0.500
In: 0.679 0.821 0.500
In: 0.821 0.321 0.500
Si: 0.000 0.000 0.500
Si: 0.500 0.500 0.500

=====

No. 2
# MgTaHg2

A crystal of MgTaHg2 relaxed with PBEsol (meta-GGA SCAN, Alexandria via LeMat-Bulk).

Results
**Magnetization**: 0.0 μB/cell
**Uncorrected energy**: -51.738 eV per atom

Cell lengths 5.926, 5.926, 5.926 Å; angles 150.47, 130.01, 59.14 degrees
Sites, in units of the cell vectors:
Mg: 0.000 0.000 0.000
Ta: 0.747 0.247 0.500
Hg: 0.250 0.750 0.500
Hg: 0.504 0.504 0.000

=====

No. 3
# Cs2NaFeF6

A crystal of Cs2NaFeF6 relaxed with PBEsol (meta-GGA SCAN, Alexandria via LeMat-Bulk).

Results
**Magnetization**: 1.0 μB/cell
**Offset from the most stable computed form**: 0.094 eV per atom
**Uncorrected energy**: -14.670 eV per atom

Cell lengths 6.052, 6.052, 6.052 Å; angles 60.00, 60.00, 60.00 degrees
Sites, in units of the cell vectors:
Cs: 0.250 0.250 0.250
Cs: 0.750 0.750 0.750
Na: 0.000 0.000 0.000
Fe: 0.500 0.500 0.500
F: 0.280 0.280 0.720
F: 0.280 0.720 0.280
F: 0.280 0.720 0.720
F: 0.720 0.280 0.280
F: 0.720 0.280 0.720
F: 0.720 0.720 0.280

=====

No. 4
# BeP3

A crystal of BeP3 relaxed with PBEsol (meta-GGA SCAN, Alexandria via LeMat-Bulk).

Results
**Magnetization**: 0.0 μB/cell
**Offset from the most stable computed form**: 0.429 eV per atom
**Uncorrected energy**: -8.214 eV per atom

Cell lengths 3.145, 3.145, 5.136 Å; angles 90.00, 90.00, 90.00 degrees
Sites, in units of the cell vectors:
Be: 0.000 0.000 0.000
P: 0.000 0.000 0.500
P: 0.500 0.500 0.215
P: 0.500 0.500 0.785

=====

No. 5
# MgTaSe2

A crystal of MgTaSe2 relaxed with PBEsol (meta-GGA SCAN, Alexandria via LeMat-Bulk).

Results
**Magnetization**: 0.0 μB/cell
**Uncorrected energy**: -28.346 eV per atom

Cell lengths 5.110, 5.110, 4.487 Å; angles 90.05, 90.05, 37.96 degrees
Sites, in units of the cell vectors:
Mg: 0.000 0.000 0.000
Ta: 0.802 0.802 0.500
Se: 0.263 0.263 0.999
Se: 0.520 0.520 0.500

=====

No. 6
# KLi2La

A crystal of KLi2La relaxed with PBEsol (meta-GGA SCAN, Alexandria via LeMat-Bulk).

Results
**Magnetization**: 0.3 μB/cell
**Uncorrected energy**: -13.808 eV per atom

Cell lengths 7.204, 7.204, 7.204 Å; angles 152.59, 130.09, 57.88 degrees
Sites, in units of the cell vectors:
K: 0.000 0.000 0.000
Li: 0.557 0.557 0.000
Li: 0.746 0.246 0.500
La: 0.297 0.797 0.500

=====

No. 7
# Y3Be5

A crystal of Y3Be5 relaxed with PBEsol (meta-GGA SCAN, Alexandria via LeMat-Bulk).

Results
**Magnetization**: 0.0 μB/cell
**Uncorrected energy**: -12.916 eV per atom

Cell lengths 5.756, 5.756, 4.366 Å; angles 90.00, 90.00, 111.25 degrees
Sites, in units of the cell vectors:
Y: 0.000 0.000 0.000
Y: 0.270 0.730 0.500
Y: 0.730 0.270 0.500
Be: 0.000 0.500 0.000
Be: 0.284 0.284 0.500
Be: 0.500 0.000 0.000
Be: 0.500 0.500 0.000
Be: 0.716 0.716 0.500

=====

No. 8
# MnAgRh

A crystal of MnAgRh relaxed with PBEsol (meta-GGA SCAN, Alexandria via LeMat-Bulk).

Results
**Magnetization**: 4.3 μB/cell
**Offset from the most stable computed form**: 0.000 eV per atom
**Uncorrected energy**: -27.911 eV per atom

Cell lengths 5.344, 5.344, 5.344 Å; angles 147.58, 147.58, 46.50 degrees
Sites, in units of the cell vectors:
Mn: 0.000 0.000 0.000
Ag: 0.676 0.676 0.000
Rh: 0.366 0.366 0.000

=====

No. 9
# Ca2AgW

A crystal of Ca2AgW relaxed with PBEsol (meta-GGA SCAN, Alexandria via LeMat-Bulk).

Results
**Magnetization**: 0.0 μB/cell
**Offset from the most stable computed form**: 0.000 eV per atom
**Uncorrected energy**: -29.331 eV per atom

Cell lengths 5.471, 5.471, 2.930 Å; angles 90.00, 90.00, 90.00 degrees
Sites, in units of the cell vectors:
Ca: 0.000 0.500 0.000
Ca: 0.500 0.000 0.000
Ag: 0.000 0.000 0.500
W: 0.500 0.500 0.500

=====

No. 10
# Ta2Mo3

A crystal of Ta2Mo3 relaxed with PBEsol (meta-GGA SCAN, Alexandria via LeMat-Bulk).

Results
**Magnetization**: 0.0 μB/cell
**Offset from the most stable computed form**: 0.000 eV per atom
**Uncorrected energy**: -47.771 eV per atom

Cell lengths 8.284, 8.284, 8.284 Å; angles 157.90, 157.90, 31.45 degrees
Sites, in units of the cell vectors:
Ta: 0.099 0.099 0.000
Ta: 0.901 0.901 0.000
Mo: 0.297 0.297 0.000
Mo: 0.500 0.500 0.000
Mo: 0.703 0.703 0.000

=====

No. 11
# MnCoAu2

A crystal of MnCoAu2 relaxed with PBEsol (meta-GGA SCAN, Alexandria via LeMat-Bulk).

Results
**Magnetization**: 5.8 μB/cell
**Uncorrected energy**: -43.678 eV per atom

Cell lengths 4.726, 4.726, 4.726 Å; angles 131.88, 131.88, 70.42 degrees
Sites, in units of the cell vectors:
Mn: 0.000 0.000 0.000
Co: 0.750 0.250 0.500
Au: 0.250 0.750 0.500
Au: 0.500 0.500 0.000

=====

No. 12
# TlSnPt3

A crystal of TlSnPt3 relaxed with PBEsol (meta-GGA SCAN, Alexandria via LeMat-Bulk).

Results
**Magnetization**: 0.0 μB/cell
**Uncorrected energy**: -62.956 eV per atom

Cell lengths 4.932, 4.932, 4.932 Å; angles 90.00, 90.00, 90.00 degrees
Sites, in units of the cell vectors:
Tl: 0.000 0.000 0.000
Sn: 0.500 0.500 0.500
Pt: 0.000 0.500 0.500
Pt: 0.500 0.000 0.500
Pt: 0.500 0.500 0.000